# 1
## ZnCdTc (PBE)

Data for an optimized crystal structure of ZnCdTc.

Formation energy, eV per atom: 0.314
Offset from the most stable computed form, eV/f.u.: 0.84

a b c (Å): 7.2378 7.0638 2.7648
angles (deg): 82.41 75.34 22.25
Atoms (fractional coordinates):
Zn (0.6757, 0.6757, 0.3243)
Cd (0.9991, 0.9991, 0.0009)
Tc (0.3252, 0.3252, 0.6748)

---

# 2
## Tl2SiF (PBE)

Data for an optimized crystal structure of Tl2SiF.

E_form (uncorrected), meV/atom: -298.5
Offset from the most stable computed form, eV/f.u.: 0.17

a b c (Å): 5.6452 5.6452 8.0473
angles (deg): 69.47 69.47 90.00
Atoms (fractional coordinates):
Tl (0.8750, 0.8511, 0.7500)
Si (0.7500, 0.2500, 0.5000)
F (0.5000, 0.5000, 0.0000)
F (0.2500, 0.7500, 0.5000)
Tl (0.3750, 0.3989, 0.7500)
Si (0.0000, 0.0000, 0.0000)
Tl (0.6011, 0.1250, 0.2500)
Tl (0.1489, 0.6250, 0.2500)

---

> The lowest offset from the most stable computed form belongs to which entry?

Tl2SiF